No. 1
5
Lattice="4.527 0.000 0.000 0.000 4.527 0.000 0.000 0.000 4.527" Properties=species:S:1:pos:R:3 comment="BeZnGe3, relaxed, DFT PBE" vol_a3_per_cell=92.80 relative_energy_kcal_per_mol_atoms=0.00 formation_enthalpy_0k_ev_per_fu=2.5 pbc="T T T"
Be 0.000 0.000 0.000
Zn 2.264 2.264 2.264
Ge 0.000 0.000 2.264
Ge 0.000 2.264 0.000
Ge 2.264 0.000 0.000

No. 2
6
Lattice="-3.309 3.309 2.653 3.309 -3.309 2.653 3.309 3.309 -2.653" Properties=species:S:1:pos:R:3 comment="Zr4BeGe, relaxed, DFT PBE" vol_a3_per_cell=116.16 formation_enthalpy_0k_ev_per_fu=-2.4 pbc="T T T"
Zr 2.276 -1.033 1.326
Zr 4.342 1.033 1.326
Zr 1.033 2.276 1.326
Zr -1.033 4.342 1.326
Be 0.000 0.000 2.653
Ge 0.000 0.000 0.000

No. 3
6
Lattice="2.648 -3.530 0.000 2.648 3.530 0.000 0.000 0.000 5.329" Properties=species:S:1:pos:R:3 comment="ZrBeGe, relaxed, DFT PBE" vol_a3_per_cell=99.64 formation_enthalpy_0k_ev_per_fu=-0.6 pbc="T T T"
Zr 2.648 2.401 3.997
Zr 2.648 -2.401 1.332
Be 2.648 0.000 0.000
Be 2.648 0.000 2.665
Ge 2.648 1.914 1.332
Ge 2.648 -1.914 3.997